(1)
# LaSc2I, relaxed, DFT GGA-PBE
# distance to the lowest polymorph of the same formula: 0.02 eV/f.u.
# D(E_F): 18.05 states/eV per cell
data_LaSc2I
_cell_length_a 3.6706
_cell_length_b 3.6706
_cell_length_c 33.1053
_cell_angle_alpha 90.00
_cell_angle_beta 90.00
_cell_angle_gamma 120.00
_symmetry_space_group_name_H-M 'R -3 m'
_symmetry_Int_Tables_number 166
_symmetry_space_group_name_Hall '-R 3 2"'
loop_
_atom_site_label
_atom_site_type_symbol
_atom_site_fract_x
_atom_site_fract_y
_atom_site_fract_z
La1 La 0.0000 0.0000 0.0000
Sc1 Sc 0.0000 0.0000 0.4155
I1 I 0.0000 0.0000 0.5000


(2)
# LaSc2I, relaxed, DFT GGA-PBE
# distance to the lowest polymorph of the same formula: 0.00 eV/f.u.
# D(E_F): 19.13 states/eV per cell
data_LaSc2I
_cell_length_a 8.808
_cell_length_b 8.808
_cell_length_c 6.342
_cell_angle_alpha 90.00
_cell_angle_beta 90.00
_cell_angle_gamma 90.00
_symmetry_space_group_name_H-M 'I -4 2 d'
_symmetry_Int_Tables_number 122
_symmetry_space_group_name_Hall 'I -4 2bw'
loop_
_atom_site_label
_atom_site_type_symbol
_atom_site_fract_x
_atom_site_fract_y
_atom_site_fract_z
La1 La 0.000 0.000 0.000
Sc1 Sc 0.190 0.750 0.625
I1 I 0.000 0.000 0.500


(3)
# LaScI3, relaxed, DFT GGA-PBE
# distance to the lowest polymorph of the same formula: 0.68 eV/f.u.
# D(E_F): 10.51 states/eV per cell
data_LaScI3
_cell_length_a 6.259
_cell_length_b 6.259
_cell_length_c 6.259
_cell_angle_alpha 90.00
_cell_angle_beta 90.00
_cell_angle_gamma 90.00
_symmetry_space_group_name_H-M 'P m -3 m'
_symmetry_Int_Tables_number 221
_symmetry_space_group_name_Hall '-P 4 2 3'
loop_
_atom_site_label
_atom_site_type_symbol
_atom_site_fract_x
_atom_site_fract_y
_atom_site_fract_z
La1 La 0.000 0.000 0.000
Sc1 Sc 0.500 0.500 0.500
I1 I 0.000 0.000 0.500


(4)
# LaScTe2I, relaxed, DFT GGA-PBE
# D(E_F): 6.00 states/eV per cell
# total DFT energy (no corrections): -4.706 eV per atom
data_LaScTe2I
_cell_length_a 5.601
_cell_length_b 5.601
_cell_length_c 5.476
_cell_angle_alpha 90.00
_cell_angle_beta 90.00
_cell_angle_gamma 90.00
_symmetry_space_group_name_H-M 'P 4/m m m'
_symmetry_Int_Tables_number 123
_symmetry_space_group_name_Hall '-P 4 2'
loop_
_atom_site_label
_atom_site_type_symbol
_atom_site_fract_x
_atom_site_fract_y
_atom_site_fract_z
La1 La 0.000 0.000 0.000
Sc1 Sc 0.500 0.500 0.500
Te1 Te 0.000 0.500 0.500
I1 I 0.500 0.500 0.000


(5)
# LaYSc2I, relaxed, DFT GGA-PBE
# D(E_F): 5.20 states/eV per cell
# total DFT energy (no corrections): -4.439 eV per atom
data_LaYSc2I
_cell_length_a 5.435
_cell_length_b 5.435
_cell_length_c 6.080
_cell_angle_alpha 90.00
_cell_angle_beta 90.00
_cell_angle_gamma 90.00
_symmetry_space_group_name_H-M 'P 4/m m m'
_symmetry_Int_Tables_number 123
_symmetry_space_group_name_Hall '-P 4 2'
loop_
_atom_site_label
_atom_site_type_symbol
_atom_site_fract_x
_atom_site_fract_y
_atom_site_fract_z
La1 La 0.000 0.000 0.000
Y1 Y 0.000 0.000 0.500
Sc1 Sc 0.000 0.500 0.500
I1 I 0.500 0.500 0.000


(6)
# La2SeI2, relaxed, DFT GGA-PBE
# D(E_F): 14.28 states/eV per cell
# total DFT energy (no corrections): -4.751 eV per atom
data_La2SeI2
_cell_length_a 4.162
_cell_length_b 14.284
_cell_length_c 12.114
_cell_angle_alpha 90.00
_cell_angle_beta 90.00
_cell_angle_gamma 90.00
_symmetry_space_group_name_H-M 'C m c 21'
_symmetry_Int_Tables_number 36
_symmetry_space_group_name_Hall 'C 2c -2'
loop_
_atom_site_label
_atom_site_type_symbol
_atom_site_fract_x
_atom_site_fract_y
_atom_site_fract_z
La1 La 0.000 0.008 0.000
La2 La 0.000 0.249 0.649
Se1 Se 0.000 0.378 0.069
I1 I 0.000 0.090 0.250
I2 I 0.000 0.333 0.396


(7)
# La2SeI, relaxed, DFT GGA-PBE
# distance to the lowest polymorph of the same formula: 0.26 eV/f.u.
# D(E_F): 5.17 states/eV per cell
data_La2SeI
_cell_length_a 4.020
_cell_length_b 8.711
_cell_length_c 7.075
_cell_angle_alpha 90.00
_cell_angle_beta 90.00
_cell_angle_gamma 90.00
_symmetry_space_group_name_H-M 'P m m n'
_symmetry_Int_Tables_number 59
loop_
_symmetry_equiv_pos_as_xyz
'x,y,z'
'-x,-y,-z'
'-x+1/2,-y+1/2,z'
'x+1/2,y+1/2,-z'
'x+1/2,-y,-z'
'-x+1/2,y,z'
'-x,y+1/2,-z'
'x,-y+1/2,z'
loop_
_atom_site_label
_atom_site_type_symbol
_atom_site_fract_x
_atom_site_fract_y
_atom_site_fract_z
La1 La 0.250 0.010 0.226
Se1 Se 0.250 0.750 0.926
I1 I 0.250 0.250 0.589


(8)
# La2SeI2, relaxed, DFT GGA-PBE
# D(E_F): 8.13 states/eV per cell
# total DFT energy (no corrections): -4.670 eV per atom
data_La2SeI2
_cell_length_a 8.086
_cell_length_b 8.086
_cell_length_c 5.064
_cell_angle_alpha 90.00
_cell_angle_beta 90.00
_cell_angle_gamma 90.00
_symmetry_space_group_name_H-M 'P 4/m b m'
_symmetry_Int_Tables_number 127
_symmetry_space_group_name_Hall '-P 4 2ab'
loop_
_atom_site_label
_atom_site_type_symbol
_atom_site_fract_x
_atom_site_fract_y
_atom_site_fract_z
La1 La 0.162 0.338 0.000
Se1 Se 0.000 0.000 0.000
I1 I 0.152 0.652 0.500


(9)
# La3Se3I, relaxed, DFT GGA-PBE
# D(E_F): 17.14 states/eV per cell
# total DFT energy (no corrections): -5.610 eV per atom
data_La3Se3I
_cell_length_a 9.2612
_cell_length_b 9.2612
_cell_length_c 18.1359
_cell_angle_alpha 90.00
_cell_angle_beta 90.00
_cell_angle_gamma 120.00
_symmetry_space_group_name_H-M 'R -3'
_symmetry_Int_Tables_number 148
_symmetry_space_group_name_Hall '-R 3'
loop_
_atom_site_label
_atom_site_type_symbol
_atom_site_fract_x
_atom_site_fract_y
_atom_site_fract_z
La1 La 0.0000 0.3529 0.0807
Se1 Se 0.0028 0.7015 0.0878
I1 I 0.0000 0.0000 0.3314


(10)
# La2Se2I, relaxed, DFT GGA-PBE
# distance to the lowest polymorph of the same formula: 0.17 eV/f.u.
# D(E_F): 5.97 states/eV per cell
data_La2Se2I
_cell_length_a 4.549
_cell_length_b 5.960
_cell_length_c 13.832
_cell_angle_alpha 90.00
_cell_angle_beta 90.00
_cell_angle_gamma 90.00
_symmetry_space_group_name_H-M 'I m m m'
_symmetry_Int_Tables_number 71
_symmetry_space_group_name_Hall '-I 2 2'
loop_
_atom_site_label
_atom_site_type_symbol
_atom_site_fract_x
_atom_site_fract_y
_atom_site_fract_z
La1 La 0.000 0.000 0.181
Se1 Se 0.000 0.500 0.180
I1 I 0.000 0.500 0.500


(11)
# La2SeI4, relaxed, DFT GGA-PBE
# D(E_F): 0.00 states/eV per cell
# total DFT energy (no corrections): -4.374 eV per atom
data_La2SeI4
_cell_length_a 13.534
_cell_length_b 13.534
_cell_length_c 4.141
_cell_angle_alpha 90.00
_cell_angle_beta 90.00
_cell_angle_gamma 90.00
_symmetry_space_group_name_H-M 'P 42/m n m'
_symmetry_Int_Tables_number 136
_symmetry_space_group_name_Hall '-P 4n 2n'
loop_
_atom_site_label
_atom_site_type_symbol
_atom_site_fract_x
_atom_site_fract_y
_atom_site_fract_z
La1 La 0.116 0.116 0.000
Se1 Se 0.000 0.000 0.500
I1 I 0.071 0.289 0.500


(12)
# La2SeI3, relaxed, DFT GGA-PBE
# D(E_F): 10.14 states/eV per cell
# total DFT energy (no corrections): -4.590 eV per atom
data_La2SeI3
_cell_length_a 18.005
_cell_length_b 4.852
_cell_length_c 12.642
_cell_angle_alpha 90.00
_cell_angle_beta 118.33
_cell_angle_gamma 90.00
_symmetry_space_group_name_H-M 'C 1 2/m 1'
_symmetry_Int_Tables_number 12
_symmetry_space_group_name_Hall '-C 2y'
loop_
_atom_site_label
_atom_site_type_symbol
_atom_site_fract_x
_atom_site_fract_y
_atom_site_fract_z
La1 La 0.095 0.000 0.442
La2 La 0.140 0.500 0.808
Se1 Se 0.090 0.000 0.670
I1 I 0.053 0.500 0.239
I2 I 0.156 0.000 0.010
I3 I 0.230 0.500 0.613


Taking the records one at a time from the top gives magnetization values of 1.093, 0.000, 2.776, 0.384, 0.000, 0.014, 0.000, 0.001, 0.000, 0.001, 0.000, 0.000 μB/cell.